Computed, not measured: a relaxed structure of Y3Sc2Ga3O12 at the PBEsol level of DFT.

Calculated values
- Mass density: 5.2 g cm⁻³
- V: 12.021 Å³/atom
- E_tot: -8.362 eV/atom
- Uncorrected formation energy: -3.027 eV per atom

Cell lengths 10.7700, 10.7700, 10.7700 Å; angles 109.47, 109.47, 109.47 degrees
Atoms (fractional coordinates):
Y1 0.1250 0.2500 0.3750
Y2 0.1250 0.3750 0.7500
Y3 0.2500 0.3750 0.1250
Y4 0.2500 0.8750 0.6250
Y5 0.3750 0.1250 0.2500
Y6 0.3750 0.7500 0.1250
Y7 0.6250 0.2500 0.8750
Y8 0.6250 0.8750 0.7500
Y9 0.7500 0.1250 0.3750
Y10 0.7500 0.6250 0.8750
Y11 0.8750 0.6250 0.2500
Y12 0.8750 0.7500 0.6250
Sc1 0.0000 0.0000 0.0000
Sc2 0.0000 0.0000 0.5000
Sc3 0.0000 0.5000 0.0000
Sc4 0.0000 0.5000 0.5000
Sc5 0.5000 0.0000 0.0000
Sc6 0.5000 0.0000 0.5000
Sc7 0.5000 0.5000 0.0000
Sc8 0.5000 0.5000 0.5000
Ga1 0.1250 0.7500 0.8750
Ga2 0.1250 0.8750 0.2500
Ga3 0.2500 0.1250 0.8750
Ga4 0.2500 0.6250 0.3750
Ga5 0.3750 0.2500 0.6250
Ga6 0.3750 0.6250 0.7500
Ga7 0.6250 0.3750 0.2500
Ga8 0.6250 0.7500 0.3750
Ga9 0.7500 0.3750 0.6250
Ga10 0.7500 0.8750 0.1250
Ga11 0.8750 0.1250 0.7500
Ga12 0.8750 0.2500 0.1250
O1 0.0319 0.2141 0.1268
O2 0.0319 0.3178 0.9050
O3 0.0873 0.7141 0.6822
O4 0.0873 0.8732 0.4050
O5 0.0950 0.6268 0.4127
O6 0.0950 0.9681 0.6822
O7 0.1268 0.0319 0.2141
O8 0.1268 0.5950 0.9127
O9 0.1822 0.2141 0.5873
O10 0.1822 0.4681 0.5950
O11 0.2141 0.1268 0.0319
O12 0.2141 0.5873 0.1822
O13 0.2859 0.3178 0.9127
O14 0.2859 0.4681 0.3732
O15 0.3178 0.9050 0.0319
O16 0.3178 0.9127 0.2859
O17 0.3732 0.2859 0.4681
O18 0.3732 0.5873 0.9050
O19 0.4050 0.0873 0.8732
O20 0.4050 0.8178 0.5319
O21 0.4127 0.0950 0.6268
O22 0.4127 0.8178 0.7859
O23 0.4681 0.3732 0.2859
O24 0.4681 0.5950 0.1822
O25 0.5319 0.4050 0.8178
O26 0.5319 0.6268 0.7141
O27 0.5873 0.1822 0.2141
O28 0.5873 0.9050 0.3732
O29 0.5950 0.1822 0.4681
O30 0.5950 0.9127 0.1268
O31 0.6268 0.4127 0.0950
O32 0.6268 0.7141 0.5319
O33 0.6822 0.0873 0.7141
O34 0.6822 0.0950 0.9681
O35 0.7141 0.5319 0.6268
O36 0.7141 0.6822 0.0873
O37 0.7859 0.4127 0.8178
O38 0.7859 0.8732 0.9681
O39 0.8178 0.5319 0.4050
O40 0.8178 0.7859 0.4127
O41 0.8732 0.4050 0.0873
O42 0.8732 0.9681 0.7859
O43 0.9050 0.0319 0.3178
O44 0.9050 0.3732 0.5873
O45 0.9127 0.1268 0.5950
O46 0.9127 0.2859 0.3178
O47 0.9681 0.6822 0.0950
O48 0.9681 0.7859 0.8732